Entry 1:
Compound: La2HoSn9
Source: Alexandria
Functional: PBE
Structure: relaxed

Properties
Formation enthalpy at 0 K   -0.52 eV per atom
ρ   7.69 Mg/m³
N(E_F)   7.65 states/eV/cell

Unit cell a=4.807 b=4.807 c=14.115 alpha=90.00 beta=90.00 gamma=90.00
Sites, in units of the cell vectors:
Sn: 0.500 0.000 0.840
Ho: 0.000 0.000 0.000
Sn: 0.500 0.000 0.160
Sn: 0.000 0.500 0.840
Sn: 0.500 0.500 0.670
Sn: 0.000 0.500 0.160
La: 0.000 0.000 0.669
Sn: 0.500 0.000 0.500
Sn: 0.500 0.500 0.330
Sn: 0.000 0.500 0.500
La: 0.000 0.000 0.331
Sn: 0.500 0.500 0.000

Entry 2:
Compound: LaHo2Sn
Source: Alexandria
Functional: PBE
Structure: relaxed

Properties
Energy relative to the lowest polymorph listed for this composition   219 meV/atom
Formation enthalpy at 0 K   -0.22 eV per atom
ρ   8.64 Mg/m³
N(E_F)   5.41 states/eV/cell

Unit cell a=5.426 b=5.426 c=5.426 alpha=60.00 beta=60.00 gamma=60.00
Sites, in units of the cell vectors:
Ho: 0.250 0.250 0.250
Ho: 0.750 0.750 0.750
La: 0.000 0.000 0.000
Sn: 0.500 0.500 0.500

Entry 3:
Compound: La5HoSn4
Source: Alexandria
Functional: PBE
Structure: relaxed

Properties
Formation enthalpy at 0 K   -0.59 eV per atom
ρ   6.47 Mg/m³
N(E_F)   6.67 states/eV/cell

Unit cell a=5.498 b=7.361 c=11.430 alpha=128.93 beta=103.92 gamma=90.00
Sites, in units of the cell vectors:
La: 0.500 0.500 0.000
Ho: 0.500 0.000 0.000
La: 0.835 0.171 0.670
Sn: 0.993 0.749 0.986
Sn: 0.329 0.906 0.657
Sn: 0.007 0.251 0.014
Sn: 0.671 0.094 0.343
La: 0.832 0.673 0.665
La: 0.168 0.327 0.335
La: 0.165 0.829 0.330

Entry 4:
Compound: La5Ho4Sn4
Source: Alexandria
Functional: PBE
Structure: relaxed

Properties
Formation enthalpy at 0 K   -0.56 eV per atom
ρ   7.26 Mg/m³
N(E_F)   16.63 states/eV/cell

Unit cell a=4.701 b=9.725 c=9.725 alpha=86.65 beta=76.01 gamma=76.01
Sites, in units of the cell vectors:
Ho: 0.592 0.313 0.503
Ho: 0.095 0.497 0.313
La: 0.621 0.674 0.085
La: 0.379 0.326 0.915
Sn: 0.240 0.685 0.836
La: 0.000 0.000 0.000
Sn: 0.760 0.315 0.164
Ho: 0.905 0.503 0.687
La: 0.295 0.085 0.326
Sn: 0.075 0.164 0.685
Ho: 0.408 0.687 0.497
La: 0.705 0.915 0.674
Sn: 0.925 0.836 0.315

Entry 5:
Compound: La2Ho3Sn4
Source: Alexandria
Functional: PBE
Structure: relaxed

Properties
Energy relative to the lowest polymorph listed for this composition   141 meV/atom
Formation enthalpy at 0 K   -0.67 eV per atom
ρ   7.55 Mg/m³
N(E_F)   9.19 states/eV/cell

Unit cell a=7.088 b=8.959 c=9.337 alpha=90.00 beta=112.31 gamma=90.00
Sites, in units of the cell vectors:
Sn: 0.186 0.946 0.373
La: 0.611 0.912 0.221
Sn: 0.314 0.446 0.627
Sn: 0.217 0.750 0.934
La: 0.889 0.412 0.779
Ho: 0.000 0.000 0.000
Sn: 0.686 0.554 0.373
Ho: 0.542 0.750 0.584
La: 0.111 0.588 0.221
Ho: 0.958 0.250 0.416
Ho: 0.500 0.500 0.000
La: 0.389 0.088 0.779
Sn: 0.814 0.054 0.627
Ho: 0.458 0.250 0.416
Ho: 0.042 0.750 0.584
Sn: 0.783 0.250 0.066
Sn: 0.283 0.250 0.066
Sn: 0.717 0.750 0.934

Entry 6:
Compound: La3HoSn3
Source: Alexandria
Functional: PBE
Structure: relaxed

Properties
Formation enthalpy at 0 K   -0.51 eV per atom
ρ   6.39 Mg/m³
N(E_F)   11.80 states/eV/cell

Unit cell a=8.039 b=8.039 c=8.297 alpha=91.73 beta=91.73 gamma=114.44
Sites, in units of the cell vectors:
La: 0.378 0.378 0.635
Ho: 0.731 0.731 0.920
Sn: 0.152 0.493 0.298
Ho: 0.269 0.269 0.080
Sn: 0.507 0.848 0.702
Sn: 0.493 0.152 0.298
Sn: 0.848 0.507 0.702
Sn: 0.052 0.052 0.786
Sn: 0.948 0.948 0.214
La: 0.836 0.164 0.500
La: 0.774 0.226 0.000
La: 0.164 0.836 0.500
La: 0.226 0.774 0.000
La: 0.622 0.622 0.365

Entry 7:
Compound: La4HoSn2
Source: Alexandria
Functional: PBE
Structure: relaxed

Properties
Formation enthalpy at 0 K   0.14 eV per atom
ρ   6.11 Mg/m³
N(E_F)   7.56 states/eV/cell

Unit cell a=5.562 b=5.562 c=9.290 alpha=107.42 beta=107.42 gamma=90.00
Sites, in units of the cell vectors:
La: 0.500 0.000 0.000
Sn: 0.369 0.369 0.738
La: 0.000 0.500 0.000
La: 0.818 0.818 0.635
Ho: 0.000 0.000 0.000
Sn: 0.631 0.631 0.262
La: 0.182 0.182 0.365

Entry 8:
Compound: LaHoSn6
Source: Alexandria
Functional: PBE
Structure: relaxed

Properties
Formation enthalpy at 0 K   -0.49 eV per atom
ρ   7.83 Mg/m³
N(E_F)   4.25 states/eV/cell

Unit cell a=4.816 b=4.816 c=9.286 alpha=90.00 beta=90.00 gamma=90.00
Sites, in units of the cell vectors:
Sn: 0.000 0.500 0.743
Sn: 0.500 0.500 0.000
La: 0.000 0.000 0.000
Sn: 0.500 0.500 0.500
Sn: 0.500 0.000 0.743
Sn: 0.500 0.000 0.257
Ho: 0.000 0.000 0.500
Sn: 0.000 0.500 0.257

Entry 9:
Compound: La3Ho4Sn4
Source: Alexandria
Functional: PBE
Structure: relaxed

Properties
Formation enthalpy at 0 K   -0.46 eV per atom
ρ   7.47 Mg/m³
N(E_F)   13.74 states/eV/cell

Unit cell a=5.007 b=4.138 c=16.963 alpha=97.01 beta=98.49 gamma=90.00
Sites, in units of the cell vectors:
Ho: 0.094 0.594 0.189
Sn: 0.185 0.685 0.370
Ho: 0.260 0.260 0.521
Sn: 0.815 0.315 0.630
La: 0.355 0.855 0.710
Sn: 0.454 0.454 0.909
Ho: 0.906 0.406 0.811
La: 0.645 0.145 0.290
Ho: 0.740 0.740 0.479
Sn: 0.546 0.546 0.091
La: 0.000 0.000 0.000

Entry 10:
Compound: LaHoSn2
Source: Alexandria
Functional: PBE
Structure: relaxed

Properties
Formation enthalpy at 0 K   -0.52 eV per atom
ρ   7.11 Mg/m³
N(E_F)   3.77 states/eV/cell

Unit cell a=4.104 b=4.104 c=8.989 alpha=76.81 beta=76.81 gamma=60.00
Sites, in units of the cell vectors:
Sn: 0.746 0.746 0.763
La: 0.500 0.500 0.500
Sn: 0.254 0.254 0.237
Ho: 0.000 0.000 0.000

Entry 11:
Compound: La3HoSn4
Source: Alexandria
Functional: PBE
Structure: relaxed

Properties
Formation enthalpy at 0 K   -0.61 eV per atom
ρ   6.60 Mg/m³
N(E_F)   5.77 states/eV/cell

Unit cell a=4.176 b=7.175 c=9.796 alpha=111.50 beta=102.31 gamma=90.00
Sites, in units of the cell vectors:
La: 0.796 0.796 0.592
La: 0.000 0.500 0.000
Ho: 0.500 0.000 0.000
Sn: 0.627 0.832 0.253
Sn: 0.627 0.421 0.253
Sn: 0.373 0.168 0.747
La: 0.204 0.204 0.408
Sn: 0.373 0.579 0.747

Entry 12:
Compound: LaHo2Sn
Source: Alexandria
Functional: PBE
Structure: relaxed

Properties
Energy relative to the lowest polymorph listed for this composition   135 meV/atom
Formation enthalpy at 0 K   -0.30 eV per atom
ρ   8.05 Mg/m³
N(E_F)   5.28 states/eV/cell

Unit cell a=3.814 b=3.814 c=8.333 alpha=90.00 beta=90.00 gamma=90.00
Sites, in units of the cell vectors:
Ho: 0.000 0.000 0.212
Sn: 0.500 0.500 0.000
Ho: 0.000 0.000 0.788
La: 0.500 0.500 0.500

Entry 13:
Compound: LaHoSn2
Source: Alexandria
Functional: PBE
Structure: relaxed

Properties
Formation enthalpy at 0 K   -0.73 eV per atom
ρ   7.54 Mg/m³
N(E_F)   3.28 states/eV/cell

Unit cell a=4.659 b=4.376 c=6.294 alpha=90.00 beta=111.71 gamma=90.00
Sites, in units of the cell vectors:
Sn: 0.174 0.500 0.887
Sn: 0.994 0.000 0.526
La: 0.447 0.500 0.432
Ho: 0.716 0.000 0.972

Entry 14:
Compound: La3HoSn2
Source: Alexandria
Functional: PBE
Structure: relaxed

Properties
Formation enthalpy at 0 K   -0.60 eV per atom
ρ   6.91 Mg/m³
N(E_F)   17.05 states/eV/cell

Unit cell a=6.704 b=6.660 c=10.004 alpha=109.44 beta=109.58 gamma=90.00
Each line ends with the local moment (μB).
Sites, in units of the cell vectors:
La: 0.500 0.250 0.000  0.09
Ho: 0.000 0.750 0.000  0.13
Sn: 0.895 0.634 0.268  -0.01
La: 0.431 0.676 0.353  0.12
La: 0.569 0.324 0.647  0.12
Sn: 0.105 0.366 0.732  -0.01
La: 0.921 0.176 0.353  0.12
La: 0.079 0.824 0.647  0.12
Sn: 0.373 0.134 0.268  -0.01
La: 0.500 0.750 0.000  0.09
Ho: 0.000 0.250 0.000  0.13
Sn: 0.627 0.866 0.732  -0.01

Entry 15:
Compound: LaHoSn
Source: Alexandria
Functional: PBE
Structure: relaxed

Properties
Energy relative to the lowest polymorph listed for this composition   0 meV/atom
Formation enthalpy at 0 K   -0.64 eV per atom
ρ   7.35 Mg/m³
N(E_F)   6.00 states/eV/cell

Unit cell a=4.691 b=4.691 c=9.290 alpha=104.63 beta=104.63 gamma=90.00
Each line ends with the local moment (μB).
Sites, in units of the cell vectors:
Ho: 0.000 0.500 0.000  0.12
La: 0.677 0.677 0.354  0.19
Sn: 0.871 0.871 0.743  -0.02
Sn: 0.129 0.129 0.257  -0.02
La: 0.323 0.323 0.646  0.19
Ho: 0.500 0.000 0.000  0.12

Entry 16:
Compound: LaHo2Sn
Source: Alexandria
Functional: PBE
Structure: relaxed

Properties
Energy relative to the lowest polymorph listed for this composition   0 meV/atom
Formation enthalpy at 0 K   -0.44 eV per atom
ρ   7.66 Mg/m³
N(E_F)   9.44 states/eV/cell

Unit cell a=4.787 b=4.714 c=11.529 alpha=101.75 beta=90.00 gamma=90.00
Each line ends with the local moment (μB).
Sites, in units of the cell vectors:
Ho: 0.750 0.444 0.888  0.03
Ho: 0.250 0.937 0.875  0.06
Ho: 0.750 0.063 0.125  0.06
La: 0.250 0.307 0.614  0.12
Sn: 0.750 0.841 0.681  -0.01
La: 0.750 0.693 0.386  0.12
Ho: 0.250 0.556 0.112  0.03
Sn: 0.250 0.159 0.319  -0.01

Entry 17:
Compound: LaHo2Sn2
Source: Alexandria
Functional: PBE
Structure: relaxed

Properties
Formation enthalpy at 0 K   -0.46 eV per atom
ρ   7.60 Mg/m³
N(E_F)   12.44 states/eV/cell

Unit cell a=4.174 b=5.669 c=13.139 alpha=96.95 beta=90.00 gamma=90.00
Each line ends with the local moment (μB).
Sites, in units of the cell vectors:
La: 0.750 0.303 0.754  0.05
Sn: 0.750 0.213 0.342  -0.01
Sn: 0.250 0.335 0.956  0.00
Ho: 0.750 0.169 0.109  0.03
Ho: 0.250 0.255 0.528  0.13
Ho: 0.250 0.831 0.891  0.03
La: 0.250 0.697 0.246  0.05
Sn: 0.750 0.665 0.044  0.00
Sn: 0.250 0.787 0.658  -0.01
Ho: 0.750 0.745 0.472  0.13

Entry 18:
Compound: LaHoSn2
Source: Alexandria
Functional: PBE
Structure: relaxed

Properties
Formation enthalpy at 0 K   -0.65 eV per atom
ρ   7.96 Mg/m³
N(E_F)   4.11 states/eV/cell

Unit cell a=4.533 b=4.990 c=4.990 alpha=90.00 beta=90.00 gamma=90.00
Sites, in units of the cell vectors:
Sn: 0.000 0.000 0.500
La: 0.500 0.000 0.000
Ho: 0.500 0.500 0.500
Sn: 0.000 0.500 0.000

Entry 19:
Compound: LaHoSn2
Source: Alexandria
Functional: PBE
Structure: relaxed

Properties
Formation enthalpy at 0 K   -0.66 eV per atom
ρ   7.88 Mg/m³
N(E_F)   3.65 states/eV/cell

Unit cell a=4.047 b=4.047 c=6.966 alpha=90.00 beta=90.00 gamma=90.00
Sites, in units of the cell vectors:
Sn: 0.000 0.000 0.721
Ho: 0.500 0.500 0.500
Sn: 0.000 0.000 0.279
La: 0.500 0.500 0.000

Entry 20:
Compound: LaHoSn
Source: Alexandria
Functional: PBE
Structure: relaxed

Properties
Energy relative to the lowest polymorph listed for this composition   191 meV/atom
Formation enthalpy at 0 K   -0.45 eV per atom
ρ   7.97 Mg/m³
N(E_F)   3.78 states/eV/cell

Unit cell a=4.169 b=4.169 c=5.862 alpha=110.83 beta=110.83 gamma=90.00
Sites, in units of the cell vectors:
Sn: 0.292 0.292 0.583
Ho: 0.933 0.933 0.866
La: 0.626 0.626 0.251